Entry 1:
Na2DyZr2Se6 | the Alexandria database | PBE-GGA | relaxed; space group = C2/m, No. 12; DFT total energy = -5.568 eV per atom; crystal system = monoclinic
1.0
-2.387 5.868 -2.485
-4.207 -5.236 1.090
0.980 2.142 7.152
Na Zr Se Dy
2 2 6 1
Cartesian
-2.684 4.060 -1.903
-3.911 -3.428 0.508
-2.504 3.239 2.282
-3.111 -0.465 3.475
-4.386 2.986 0.305
-0.600 3.624 4.217
-1.228 -0.212 5.452
-5.015 -0.851 1.540
-4.073 2.009 4.168
-1.542 0.765 1.590
0.490 1.071 3.576

***

Entry 2:
Na2Dy2ZrSe6 | the Alexandria database | PBE-GGA | relaxed; space group = C2/m, No. 12; DFT total energy = -5.344 eV per atom; crystal system = monoclinic
1.0
6.992 0.005 0.071
-3.452 6.080 0.071
-1.257 -2.161 7.045
Na Se Dy Zr
2 6 2 1
Cartesian
5.221 1.035 0.071
-1.681 5.050 0.071
-1.744 0.836 5.131
0.694 5.027 2.055
4.027 3.088 2.055
0.508 0.874 1.992
1.775 3.050 5.194
1.589 -1.103 5.131
-0.599 2.975 3.593
2.882 0.949 3.593
-0.629 -1.081 3.522

***

Entry 3:
Na3Dy3ZrSe8 | the Alexandria database | PBE-GGA | relaxed; space group = R-3m, No. 166; DFT total energy = -5.239 eV per atom; crystal system = trigonal
1.0
-6.404 -4.803 -1.615
1.902 1.806 7.732
-3.331 6.096 -4.917
Se Dy Zr Na
8 3 1 3
Cartesian
-6.267 1.759 -1.026
-5.354 2.555 2.874
-5.816 -1.959 -2.516
-2.479 0.544 -1.674
-2.017 5.058 3.716
-1.566 1.340 2.226
-4.825 -1.018 1.514
-3.008 4.117 -0.314
-3.917 1.549 0.600
-0.715 3.951 1.408
-4.868 0.647 -3.266
-1.666 3.048 -2.458
0.000 0.000 0.000
-2.251 -1.498 3.058
0.951 0.903 3.866

***

Entry 4:
Na2DyZrSe4 | the Alexandria database | PBE-GGA | relaxed; space group = P2/m, No. 10; DFT total energy = -5.196 eV per atom; crystal system = monoclinic
1.0
3.977 0.000 0.000
0.000 6.947 0.132
0.000 -2.423 7.043
Dy Se Na Zr
1 4 2 1
Cartesian
0.000 0.000 0.000
1.989 3.320 5.518
0.000 4.543 1.692
0.000 -0.019 5.484
1.989 1.204 1.658
1.989 -1.211 3.522
0.000 2.262 3.588
1.989 3.473 0.066

***

Entry 5:
NaDySi4 | the Alexandria database | PBE-GGA | relaxed; space group = F-43m, No. 216; DFT total energy = -4.790 eV per atom; crystal system = cubic
1.0
5.294 0.000 0.000
2.647 4.585 0.000
2.647 1.528 4.322
Si Na Dy
4 1 1
Cartesian
5.294 3.056 0.517
6.636 3.831 2.709
3.952 3.831 2.709
5.294 1.507 2.709
0.000 0.000 0.000
2.647 1.528 1.081

***

Entry 6:
NaSmDySn | the Alexandria database | PBE-GGA | relaxed; space group = F-43m, No. 216; crystal system = cubic; ΔE_f = -0.285 eV per atom
1.0
-4.219 3.110 -1.218
-2.990 -1.099 -4.337
-5.001 -1.897 0.591
Sn Na Sm Dy
1 1 1 1
Cartesian
-6.105 0.057 -2.482
0.000 0.000 0.000
-3.053 0.029 -1.241
-9.158 0.086 -3.723

***

Entry 7:
Na3Sm2DyTe6 | the Alexandria database | PBE-GGA | relaxed; space group = C2/m, No. 12; DFT total energy = -4.394 eV per atom; crystal system = monoclinic
1.0
-7.438 2.052 0.792
1.894 -6.102 -4.398
1.241 -3.183 7.232
Na Te Dy Sm
3 6 1 2
Cartesian
-5.247 -0.912 3.535
0.944 -6.322 0.091
-2.152 -3.617 1.813
-0.437 -3.447 4.630
-2.587 -0.391 1.678
-3.866 -3.786 -1.004
0.480 -3.071 -0.028
-1.716 -6.843 1.948
-4.784 -4.163 3.654
0.000 0.000 0.000
-1.219 -3.382 -2.667
-4.325 -0.668 -0.939

***

Entry 8:
Na2SmDy3Te6 | the Alexandria database | PBE-GGA | relaxed; space group = C2/m, No. 12; DFT total energy = -4.654 eV per atom; crystal system = monoclinic
1.0
7.622 0.001 0.001
-3.808 6.603 0.001
-1.271 -2.201 7.319
Sm Te Dy Na
1 6 3 2
Cartesian
0.000 0.000 0.000
-0.003 -0.005 5.428
2.545 4.407 1.894
3.811 2.204 5.446
0.005 4.403 5.446
-1.268 2.199 1.876
2.538 0.000 1.876
1.271 2.201 3.661
5.071 0.007 3.661
-2.528 4.396 3.661
0.006 4.400 0.001
3.808 2.204 0.001

***

Entry 9:
Na3SmDy3Te8 | the Alexandria database | PBE-GGA | relaxed; space group = R-3m, No. 166; DFT total energy = -4.425 eV per atom; crystal system = trigonal
1.0
8.774 0.000 0.000
-4.387 7.604 -0.032
0.000 -5.044 7.664
Dy Na Te Sm
3 3 8 1
Cartesian
4.387 -2.522 3.832
2.193 1.280 3.816
-2.193 1.280 3.816
0.000 0.000 0.000
2.193 3.802 -0.016
-2.193 3.802 -0.016
2.145 3.794 5.599
4.387 2.485 2.018
0.000 0.075 5.614
6.532 -1.234 2.033
0.000 2.540 2.029
-2.145 3.794 5.599
2.241 -1.234 2.033
4.387 0.020 5.603
0.000 -2.522 3.832

***

Entry 10:
Na3SmDy2Te6 | the Alexandria database | PBE-GGA | relaxed; space group = C2/m, No. 12; DFT total energy = -4.380 eV per atom; crystal system = monoclinic
1.0
7.712 -0.001 0.000
-3.855 6.679 0.000
-1.286 -2.227 7.568
Te Na Dy Sm
6 3 2 1
Cartesian
0.018 0.032 5.802
2.552 4.419 1.766
2.607 0.000 1.768
3.873 2.192 5.800
-0.037 4.450 5.800
-1.303 2.258 1.768
-2.589 4.463 3.784
1.285 2.225 3.784
5.159 -0.012 3.784
3.859 2.223 0.000
-0.003 4.454 0.000
0.000 0.000 0.000

***

Entry 11:
Na2Sm3DyTe6 | the Alexandria database | PBE-GGA | relaxed; space group = C2/m, No. 12; DFT total energy = -4.692 eV per atom; crystal system = monoclinic
1.0
-7.378 -2.161 0.177
4.495 -1.181 6.127
-0.908 7.694 0.545
Te Na Sm Dy
6 2 3 1
Cartesian
-0.907 3.441 6.140
-1.383 4.948 1.945
-2.408 -0.596 4.904
-2.884 0.911 0.709
-4.808 3.119 4.185
1.017 1.233 2.664
-3.407 -1.833 2.167
0.524 -1.509 4.137
-5.816 1.853 1.460
-1.895 2.176 3.424
2.025 2.500 5.389
0.000 0.000 0.000

***

Entry 12:
NaSm3Dy2Te6 | the Alexandria database | PBE-GGA | relaxed; space group = C2/m, No. 12; DFT total energy = -4.969 eV per atom; crystal system = monoclinic
1.0
-1.719 -3.324 2.320
4.554 -5.810 -4.949
6.881 3.632 6.123
Te Na Dy Sm
6 1 2 3
Cartesian
8.148 -3.993 0.317
3.798 -4.365 0.739
1.180 -1.427 -1.170
8.536 -4.075 4.665
5.918 -1.137 2.756
1.568 -1.509 3.178
-0.860 -1.662 1.160
3.560 -1.315 0.754
6.156 -4.187 2.741
4.014 -1.358 5.208
1.417 -4.567 -1.314
5.701 -4.145 -1.713